! NaMo2P3O12 (GGA+U, optimized geometry); values from VASP
! Total DFT energy (no corrections) (eV per cell): -257.1
! DOS at the Fermi energy (states/eV per atom): 0.1883
! SG: R-3c (167)
&SYSTEM
  ibrav = 0, nat = 36, ntyp = 4
/
ATOMIC_SPECIES
P 30.97 P.upf
O 16.00 O.upf
Mo 95.94 Mo.upf
Na 22.99 Na.upf
ATOMIC_POSITIONS angstrom
P 1.321 -6.056 7.669
O -2.797 -7.686 9.256
O 2.988 -9.373 7.469
O 0.432 -6.724 6.593
P -2.005 -8.769 10.007
O -2.074 -7.325 5.561
Mo -0.411 -6.415 4.728
O -1.587 -11.305 6.693
O 2.797 -6.424 7.389
O -2.015 -11.418 4.260
O 2.818 -11.673 6.395
O 0.919 -10.704 7.726
P -2.476 -11.973 5.618
O -1.030 -4.569 5.324
O -1.361 -9.672 8.928
O -3.952 -11.605 5.898
O 0.224 -11.725 10.347
O -0.277 -9.886 2.424
Na 0.000 0.000 0.000
Mo -0.167 -2.600 1.916
O -1.379 -6.304 2.940
O 1.642 -10.343 4.030
O -0.878 -8.143 10.863
O 1.346 -5.723 3.966
Mo -0.989 -15.429 11.371
O -4.143 -8.656 5.817
O -3.973 -6.356 6.892
O 0.206 -8.357 4.359
P 0.849 -9.260 3.280
O 0.860 -6.611 9.026
O -2.501 -12.306 9.321
O -0.126 -13.460 7.962
Na -0.578 -9.014 6.643
P 2.459 -10.809 7.627
Mo -0.744 -11.614 8.559
P -3.614 -7.220 5.660
CELL_PARAMETERS angstrom
-4.226 -3.868 7.001
-1.354 -8.937 0.373
4.425 -5.224 5.913